ErBO3 at its PBEsol-relaxed geometry, computed with SCAN.

The value obtained for the formation energy from raw total energies is -3443 meV/atom.

It has space group C2/c (No. 15), with a = 11.168 Å, b = 6.456 Å, c = 9.481 Å, α = 90.00°, β = 112.72° and γ = 90.00°. The distinct sites, in fractional coordinates, are Er at (0.085, 0.245, 0.499), Er at (0.250, 0.250, 0.000), B at (0.000, 0.174, 0.750), B at (0.121, 0.461, 0.247), O at (0.000, 0.362, 0.250), O at (0.049, 0.065, 0.894), O at (0.110, 0.307, 0.748), O at (0.126, 0.407, 0.101) and O at (0.224, 0.406, 0.390).